A relaxed ZnSbHRh2 crystal. Source: the Alexandria database, functional PBE.

Unit cell a=4.143 b=4.143 c=3.840 alpha=90.00 beta=90.00 gamma=90.00
Positions (direct):
1 Sb 0.500 0.500 0.500
2 Zn 0.000 0.000 0.500
3 Rh 0.000 0.500 0.000
4 Rh 0.500 0.000 0.000
5 H 0.000 0.000 0.000

Computed properties:
Crystal system = tetragonal
Space group = No. 123
Total energy = -4.824 eV per atom



A relaxed ZrSbHRh2 crystal. Source: the Alexandria database, functional PBE.

Unit cell a=4.125 b=4.125 c=4.265 alpha=90.00 beta=90.00 gamma=90.00
Positions (direct):
1 Sb 0.500 0.500 0.500
2 Rh 0.000 0.500 0.000
3 Rh 0.500 0.000 0.000
4 Zr 0.000 0.000 0.500
5 H 0.000 0.000 0.000

Computed properties:
Crystal system = tetragonal
Space group = No. 123
Total energy = -6.612 eV per atom



A relaxed ScH8Rh2 crystal. Source: the Alexandria database, functional PBE.

Unit cell a=3.495 b=5.404 c=5.557 alpha=60.91 beta=90.00 gamma=90.00
Positions (direct):
1 Sc 0.500 0.000 0.000
2 H 0.000 0.144 0.259
3 H 0.000 0.404 0.741
4 H 0.390 0.500 0.000
5 H 0.500 0.780 0.441
6 H 0.500 0.220 0.559
7 H 0.610 0.500 0.000
8 H 0.000 0.596 0.259
9 H 0.000 0.856 0.741
10 Rh 0.000 0.216 0.567
11 Rh 0.000 0.784 0.433

Computed properties:
Crystal system = orthorhombic
Space group = No. 65
E above lowest polymorph = 0 meV/atom



A relaxed ScH3Rh crystal. Source: the Alexandria database, functional PBE.

Unit cell a=4.925 b=4.925 c=4.925 alpha=61.79 beta=61.79 gamma=61.79
Positions (direct):
1 Sc 0.046 0.046 0.046
2 Sc 0.546 0.546 0.546
3 H 0.099 0.994 0.546
4 H 0.494 0.599 0.046
5 H 0.046 0.494 0.599
6 H 0.599 0.046 0.494
7 H 0.994 0.546 0.099
8 H 0.546 0.099 0.994
9 Rh 0.296 0.296 0.296
10 Rh 0.796 0.796 0.796

Computed properties:
Crystal system = trigonal
Space group = No. 167
Total energy = -5.246 eV per atom



A relaxed ScH3Rh crystal. Source: the Alexandria database, functional PBE.

Unit cell a=3.532 b=3.532 c=3.532 alpha=90.00 beta=90.00 gamma=90.00
Positions (direct):
1 Sc 0.500 0.500 0.500
2 H 0.000 0.500 0.000
3 H 0.000 0.000 0.500
4 H 0.500 0.000 0.000
5 Rh 0.000 0.000 0.000

Computed properties:
Crystal system = cubic
Space group = No. 221
Total energy = -5.251 eV per atom



A relaxed ScH3Rh crystal. Source: the Alexandria database, functional PBE.

Unit cell a=3.210 b=3.542 c=7.447 alpha=90.00 beta=90.00 gamma=90.00
Positions (direct):
1 Sc 0.444 0.030 0.680
2 Sc 0.944 0.530 0.027
3 H 0.444 0.530 0.853
4 H 0.444 0.530 0.248
5 H 0.944 0.030 0.854
6 H 0.444 0.030 0.022
7 H 0.943 0.030 0.460
8 H 0.944 0.530 0.686
9 Rh 0.444 0.030 0.241
10 Rh 0.944 0.530 0.467

Computed properties:
Crystal system = orthorhombic
Space group = No. 59
Total energy = -5.255 eV per atom



A relaxed ScH4Rh crystal. Source: the Alexandria database, functional PBE.

Unit cell a=5.506 b=5.940 c=4.862 alpha=105.02 beta=100.77 gamma=128.39
Positions (direct):
1 Sc 0.374 0.624 0.248
2 Sc 0.626 0.376 0.752
3 H 0.913 0.262 0.811
4 H 0.896 0.855 0.727
5 H 0.399 0.549 0.811
6 H 0.331 0.872 0.727
7 H 0.669 0.128 0.273
8 H 0.601 0.451 0.189
9 H 0.104 0.145 0.273
10 H 0.087 0.738 0.189
11 Rh 0.300 0.050 0.100
12 Rh 0.700 0.950 0.900

Computed properties:
Crystal system = monoclinic
Space group = No. 15
Total energy = -4.882 eV per atom



A relaxed Sc2H2Rh crystal. Source: the Alexandria database, functional PBE.

Unit cell a=3.220 b=3.220 c=6.263 alpha=75.10 beta=75.10 gamma=90.00
Positions (direct):
1 Sc 0.359 0.359 0.283
2 Sc 0.641 0.641 0.717
3 H 0.750 0.250 0.500
4 H 0.250 0.750 0.500
5 Rh 0.000 0.000 0.000

Computed properties:
Crystal system = tetragonal
Space group = No. 139
E above lowest polymorph = 0 meV/atom



What did the first record say?
A relaxed ZnSbHRh2 crystal. Source: the Alexandria database, functional PBE.

Unit cell a=4.143 b=4.143 c=3.840 alpha=90.00 beta=90.00 gamma=90.00
Positions (direct):
1 Sb 0.500 0.500 0.500
2 Zn 0.000 0.000 0.500
3 Rh 0.000 0.500 0.000
4 Rh 0.500 0.000 0.000
5 H 0.000 0.000 0.000

Computed properties:
Crystal system = tetragonal
Space group = No. 123
Total energy = -4.824 eV per atom